The following is a PBE calculation of a relaxed BeZn2Tc crystal, from Alexandria via LeMat-Bulk.

Lattice parameters (Å, degrees): 5.0115 8.0221 2.6236 90.00 90.00 90.00
Positions (direct):
Be: 0.0000 0.0000 0.0000
Be: 0.5000 0.5000 0.0000
Zn: 0.2500 0.2500 0.5000
Zn: 0.2500 0.7500 0.5000
Zn: 0.7500 0.2500 0.5000
Zn: 0.7500 0.7500 0.5000
Tc: 0.0000 0.5000 0.0000
Tc: 0.5000 0.0000 0.0000

Computed properties:
Crystal system ... orthorhombic
DOS at the Fermi energy ... 0.493 states/eV/atom
Energy of formation ... 0.11 eV per atom
Calculated volume ... 52.7 Å³/f.u.